Crystalline MnCu2Ir at its relaxed geometry, computed with PBE.

```
data_MnCu2Ir
_chemical_formula_sum 'Mn1 Cu2 Ir1'
_cell_length_a 2.7022
_cell_length_b 3.7646
_cell_length_c 5.2048
_cell_angle_alpha 90.00
_cell_angle_beta 90.00
_cell_angle_gamma 90.00
_symmetry_space_group_name_H-M 'P m m m'
_symmetry_Int_Tables_number 47
loop_
_symmetry_equiv_pos_as_xyz
'x,y,z'
'-x,-y,-z'
'-x,-y,z'
'x,y,-z'
'x,-y,-z'
'-x,y,z'
'-x,y,-z'
'x,-y,z'
loop_
_atom_site_label
_atom_site_fract_x
_atom_site_fract_y
_atom_site_fract_z
Mn1 0.0000 0.0000 0.0000
Cu1 0.5000 0.5000 0.2490
Ir1 0.0000 0.0000 0.5000
```

Computed properties:
ΔE_f   10.83 kJ/mol of atoms
N(E_F)   0.93 states/eV per atom
V   13.2 Å³/atom

---

Crystalline Zr2ScAuSe at its relaxed geometry, computed with PBE.

```
data_Zr2ScAuSe
_chemical_formula_sum 'Zr2 Sc1 Au1 Se1'
_cell_length_a 5.1013
_cell_length_b 5.1013
_cell_length_c 4.8154
_cell_angle_alpha 90.00
_cell_angle_beta 90.00
_cell_angle_gamma 90.00
_symmetry_space_group_name_H-M 'P 4/m m m'
_symmetry_Int_Tables_number 123
_symmetry_space_group_name_Hall '-P 4 2'
loop_
_atom_site_label
_atom_site_fract_x
_atom_site_fract_y
_atom_site_fract_z
Zr1 0.0000 0.5000 0.0000
Sc1 0.0000 0.0000 0.0000
Au1 0.5000 0.5000 0.5000
Se1 0.0000 0.0000 0.5000
```

Computed properties:
Formation energy without anion corrections   0.62 eV per atom
N(E_F)   0.72 states/eV per atom
V   25.1 Å³/atom

---

Crystalline Pm2Pr2Ho at its relaxed geometry, computed with PBE.

```
data_Pm2Pr2Ho
_chemical_formula_sum 'Pm8 Pr8 Ho4'
_cell_length_a 8.6573
_cell_length_b 9.8924
_cell_length_c 9.0271
_cell_angle_alpha 90.00
_cell_angle_beta 112.57
_cell_angle_gamma 90.00
_symmetry_space_group_name_H-M 'C 1 2/c 1'
_symmetry_Int_Tables_number 15
loop_
_symmetry_equiv_pos_as_xyz
'x,y,z'
'-x,-y,-z'
'-x,y,-z+1/2'
'x,-y,z+1/2'
'x+1/2,y+1/2,z'
'-x+1/2,-y+1/2,-z'
'-x+1/2,y+1/2,-z+1/2'
'x+1/2,-y+1/2,z+1/2'
loop_
_atom_site_label
_atom_site_fract_x
_atom_site_fract_y
_atom_site_fract_z
Pm1 0.0000 0.0000 0.0000
Pm2 0.2500 0.2500 0.0000
Pr1 0.1596 0.4136 0.6374
Ho1 0.0000 0.2971 0.2500
```

Computed properties:
ΔE_f   21.50 kJ/mol of atoms
N(E_F)   1.62 states/eV per atom
V   35.7 Å³/atom

---

Q: V of number 3 (Pm2Pr2Ho)?
A: 35.7 Å³/atom